(1)
The following is a GGA-PBE calculation of crystalline LiZrSbF2 at its relaxed geometry, from Alexandria via LeMat-Bulk.

For the raw formation energy, the calculation gives -42.3 kJ per mole of atoms. The calculation puts the magnetization at 2.25 Bohr magnetons per cell. As for the crystal system: tetragonal.

abc: 4.449 4.449 5.350
angles: 90.00 90.00 90.00
Fractional coordinates of all 5 atoms:
1 Li 0.000 0.000 0.000
2 Zr 0.500 0.500 0.000
3 Sb 0.000 0.000 0.500
4 F 0.000 0.500 0.500
5 F 0.500 0.000 0.500

=====

(2)
The following is a GGA-PBE calculation of crystalline LiScF3 at its relaxed geometry, from Alexandria via LeMat-Bulk.

For the raw formation energy, the calculation gives -271.3 kJ per mole of atoms. The calculation puts the magnetization at 1.00 Bohr magnetons per cell. As for the crystal system: cubic. The calculation puts the distance to the lowest polymorph of the same formula at 245 meV per atom.

abc: 3.706 3.706 3.706
angles: 90.00 90.00 90.00
Fractional coordinates of all 5 atoms:
1 Li 0.000 0.000 0.000
2 Sc 0.500 0.500 0.500
3 F 0.000 0.000 0.500
4 F 0.000 0.500 0.000
5 F 0.500 0.000 0.000

=====

(3)
The following is a GGA-PBE calculation of crystalline LiScF3 at its relaxed geometry, from Alexandria via LeMat-Bulk.

For the raw formation energy, the calculation gives -294.9 kJ per mole of atoms. The calculation puts the magnetization at 0.52 Bohr magnetons per cell. As for the crystal system: hexagonal. The calculation puts the distance to the lowest polymorph of the same formula at 0 meV per atom.

abc: 5.517 5.517 5.316
angles: 90.00 90.00 120.00
Fractional coordinates of all 10 atoms:
1 Li 0.000 0.000 0.000
2 Li 0.000 0.000 0.500
3 Sc 0.667 0.333 0.000
4 Sc 0.667 0.333 0.500
5 F 0.319 0.071 0.250
6 F 0.319 0.248 0.750
7 F 0.752 0.071 0.750
8 F 0.752 0.681 0.250
9 F 0.929 0.248 0.250
10 F 0.929 0.681 0.750

=====

(4)
The following is a GGA-PBE calculation of crystalline LiScF2 at its relaxed geometry, from Alexandria via LeMat-Bulk.

For the raw formation energy, the calculation gives -224.2 kJ per mole of atoms. The calculation puts the magnetization at 3.77 Bohr magnetons per cell. As for the crystal system: tetragonal. The calculation puts the distance to the lowest polymorph of the same formula at 316 meV per atom.

abc: 5.849 5.849 5.849
angles: 130.23 130.23 73.04
Fractional coordinates of all 8 atoms:
1 Li 0.000 0.000 0.000
2 Li 0.750 0.250 0.500
3 Sc 0.250 0.750 0.500
4 Sc 0.500 0.500 0.000
5 F 0.073 0.625 0.948
6 F 0.375 0.323 0.448
7 F 0.677 0.125 0.052
8 F 0.875 0.927 0.552

=====

(5)
The following is a GGA-PBE calculation of crystalline Li2ScF2 at its relaxed geometry, from Alexandria via LeMat-Bulk.

For the raw formation energy, the calculation gives -172.2 kJ per mole of atoms. The calculation puts the magnetization at 1.00 Bohr magnetons per cell. As for the crystal system: tetragonal. The calculation puts the distance to the lowest polymorph of the same formula at 0 meV per atom.

abc: 6.103 6.103 6.103
angles: 145.59 145.59 49.46
Fractional coordinates of all 5 atoms:
1 Li 0.193 0.193 0.000
2 Li 0.807 0.807 0.000
3 Sc 0.500 0.500 0.000
4 F 0.250 0.750 0.500
5 F 0.750 0.250 0.500

=====

(6)
The following is a GGA-PBE calculation of crystalline LiScF2 at its relaxed geometry, from Alexandria via LeMat-Bulk.

For the raw formation energy, the calculation gives -181.6 kJ per mole of atoms. The calculation puts the magnetization at 1.81 Bohr magnetons per cell. As for the crystal system: cubic. The calculation puts the distance to the lowest polymorph of the same formula at 757 meV per atom.

abc: 4.109 4.109 4.109
angles: 60.00 60.00 60.00
Fractional coordinates of all 4 atoms:
1 Li 0.000 0.000 0.000
2 Sc 0.500 0.500 0.500
3 F 0.250 0.250 0.250
4 F 0.750 0.750 0.750